(1)
A plane-wave DFT calculation with PBE was carried out for CaTl2Hg2 after structural relaxation.

Unit cell a=9.841 b=9.841 c=3.749 alpha=90.00 beta=90.00 gamma=156.59
Fractional positions:
1 Ca 0.000 0.000 0.000
2 Tl 0.184 0.816 0.000
3 Tl 0.816 0.184 0.000
4 Hg 0.411 0.589 0.500
5 Hg 0.589 0.411 0.500

Results
Calculated total energy ... -0.1240 Ry per atom
Formation enthalpy at 0 K ... -5.076 kcal/mol of atoms
Density ... 9.78 g cm⁻³
D(E_F) ... 0.509 states/eV/atom
SG ... No. 65

(2)
A plane-wave DFT calculation with PBE was carried out for Ac2CuP3Pd4 after structural relaxation.

Unit cell a=4.379 b=4.379 c=9.915 alpha=90.00 beta=90.00 gamma=90.00
Fractional positions:
1 Ac 0.000 0.500 0.250
2 Ac 0.500 0.000 0.750
3 Cu 0.000 0.000 0.500
4 P 0.000 0.500 0.868
5 P 0.500 0.000 0.132
6 P 0.500 0.500 0.500
7 Pd 0.000 0.000 0.000
8 Pd 0.000 0.500 0.621
9 Pd 0.500 0.000 0.379
10 Pd 0.500 0.500 0.000

Results
Calculated total energy ... -0.4257 Ry per atom
Formation enthalpy at 0 K ... -19.835 kcal/mol of atoms
Density ... 9.05 g cm⁻³
D(E_F) ... 0.594 states/eV/atom
SG ... No. 115

(3)
A plane-wave DFT calculation with PBE was carried out for YErSeS after structural relaxation.

Unit cell a=7.205 b=7.205 c=7.205 alpha=31.34 beta=31.34 gamma=31.34
Fractional positions:
1 Y 0.000 0.000 0.000
2 Er 0.815 0.815 0.815
3 Se 0.239 0.239 0.239
4 S 0.411 0.411 0.411

Results
Calculated total energy ... -0.4809 Ry per atom
Uncorrected formation energy ... -727 kJ/mol of formula units
Density ... 6.79 g cm⁻³
D(E_F) ... 0.133 states/eV/atom
SG ... No. 160

(4)
A plane-wave DFT calculation with PBE was carried out for YTlGe2 after structural relaxation.

Unit cell a=6.386 b=6.386 c=6.386 alpha=104.43 beta=104.43 gamma=120.11
Fractional positions:
1 Y 0.000 0.000 0.000
2 Y 0.750 0.250 0.500
3 Tl 0.250 0.750 0.500
4 Tl 0.500 0.500 0.000
5 Ge 0.144 0.125 0.519
6 Ge 0.375 0.856 0.981
7 Ge 0.606 0.625 0.481
8 Ge 0.875 0.394 0.019

Results
Calculated total energy ... -0.3370 Ry per atom
Formation enthalpy at 0 K ... -1.589 kcal/mol of atoms
Density ... 7.46 g cm⁻³
D(E_F) ... 0.140 states/eV/atom
SG ... No. 122

(5)
A plane-wave DFT calculation with PBE was carried out for Sr2LaSnN after structural relaxation.

Unit cell a=5.250 b=5.250 c=5.076 alpha=90.00 beta=90.00 gamma=90.00
Fractional positions:
1 Sr 0.000 0.500 0.000
2 Sr 0.500 0.000 0.000
3 La 0.000 0.000 0.500
4 Sn 0.500 0.500 0.500
5 N 0.000 0.000 0.000

Results
Calculated total energy ... -0.3664 Ry per atom
Uncorrected formation energy ... -416 kJ/mol of formula units
Density ... 5.30 g cm⁻³
D(E_F) ... 0.089 states/eV/atom
SG ... No. 123

(6)
A plane-wave DFT calculation with PBE was carried out for Ba2FeCl after structural relaxation.

Unit cell a=7.979 b=7.979 c=7.979 alpha=147.35 beta=147.35 gamma=46.84
Fractional positions:
1 Ba 0.000 0.000 0.000
2 Ba 0.750 0.250 0.500
3 Fe 0.500 0.500 0.000
4 Cl 0.250 0.750 0.500

Results
Calculated total energy ... -0.2740 Ry per atom
Uncorrected formation energy ... -73 kJ/mol of formula units
Density ... 4.13 g cm⁻³
D(E_F) ... 1.758 states/eV/atom
SG ... No. 119

- Number 2 is which compound?
  Ac2CuP3Pd4

- The lowest D(E_F) belongs to which entry?
  Sr2LaSnN

Please write out number 5 again, unchanged.
A plane-wave DFT calculation with PBE was carried out for Sr2LaSnN after structural relaxation.

Unit cell a=5.250 b=5.250 c=5.076 alpha=90.00 beta=90.00 gamma=90.00
Fractional positions:
1 Sr 0.000 0.500 0.000
2 Sr 0.500 0.000 0.000
3 La 0.000 0.000 0.500
4 Sn 0.500 0.500 0.500
5 N 0.000 0.000 0.000

Results
Calculated total energy ... -0.3664 Ry per atom
Uncorrected formation energy ... -416 kJ/mol of formula units
Density ... 5.30 g cm⁻³
D(E_F) ... 0.089 states/eV/atom
SG ... No. 123